CaAcTlIr | PBE | optimized geometry

Structure (CIF):
```
data_CaAcTlIr
_chemical_formula_sum 'Ca4 Ac4 Tl4 Ir4'
_cell_length_a 7.565
_cell_length_b 7.565
_cell_length_c 7.565
_cell_angle_alpha 90.00
_cell_angle_beta 90.00
_cell_angle_gamma 90.00
_space_group_name_H-M_alt 'F -4 3 m'
_space_group_IT_number 216
_space_group_name_Hall 'F -4 2 3'
loop_
_atom_site_label
_atom_site_type_symbol
_atom_site_fract_x
_atom_site_fract_y
_atom_site_fract_z
_atom_site_occupancy
Ca1 Ca 0.000 0.000 0.000 1
Ac1 Ac 0.000 0.000 0.500 1
Tl1 Tl 0.250 0.250 0.750 1
Ir1 Ir 0.250 0.250 0.250 1
```

Calculated values
Calculated formation energy, eV per atom: -0.266
Magnetization, μB/cell: 0.000
DOS(E_F), states/eV/f.u.: 2.1
VASP energy, hartree per atom: -0.16908